No. 1
14
Lattice="7.7812 0.2173 -3.0349 -0.9855 7.7248 -3.0347 -0.0597 -0.0708 12.1452" Properties=species:S:1:pos:R:3 comment="Ba5PdN, optimized geometry, DFT PBE" crystal_system=monoclinic m_tot_mub_per_cell=0.00 space_group=C2/c formation_energy_uncorrected_mev_per_atom=-284 dos_ef_per_ev_cell=12.94 pbc="T T T"
Ba 3.5552 7.1884 4.5568
Ba 0.4522 5.5768 7.5305
Ba 5.6473 2.7781 4.6151
Ba 1.5041 2.2781 9.7096
Ba 1.2873 2.0233 5.4736
Ba 5.4488 5.8480 0.6020
Ba 3.1808 0.6829 1.5188
Ba 6.2838 2.2945 -1.4549
Ba 1.0887 5.0932 1.4606
Ba 5.2319 5.5932 -3.6340
Pd 3.8906 0.1087 -1.5175
Pd 3.8607 0.0732 4.5552
N 0.3617 3.0373 7.5912
N 6.3743 4.8340 -1.5156

No. 2
6
Lattice="-1.7053 -2.3800 0.5530 3.8230 -0.4646 1.7620 -2.8375 3.0704 4.4644" Properties=species:S:1:pos:R:3 comment="TaCrC, optimized geometry, DFT PBE" crystal_system=monoclinic m_tot_mub_per_cell=0.00 space_group=Cm total_energy_ev_per_cell=-61.8 dos_ef_per_ev_cell=3.90 pbc="T T T"
Cr -0.6204 0.9801 2.3051
Cr -0.5286 -0.5402 4.0726
C -0.6083 -0.9966 1.8625
C -1.1214 0.2719 5.7394
Ta 1.6456 -0.6905 2.1025
Ta -2.7177 1.0918 4.3458

No. 3
20
Lattice="6.0419 0.0194 -0.0017 -0.0010 6.1691 0.0023 -0.0135 -0.0079 8.6182" Properties=species:S:1:pos:R:3 comment="BaTbEuBiO6, optimized geometry, DFT PBE" crystal_system=triclinic m_tot_mub_per_cell=13.35 space_group=P-1 formation_energy_uncorrected_mev_per_atom=-2423 dos_ef_per_ev_cell=33.28 relative_energy_mev_per_atom=0 pbc="T T T"
Tb -0.0073 3.0806 4.3102
Tb 3.0210 0.0097 -0.0009
Bi -0.0005 3.0846 0.0011
Bi 3.0142 0.0058 4.3082
O 1.2757 4.7872 0.3977
O 1.8587 1.8605 3.8065
O 3.4722 5.8032 2.1759
O 4.1687 4.3202 4.8122
O 5.3506 3.0431 2.0875
O 1.7409 1.8637 0.5280
O 4.2865 4.3169 8.0907
O 4.7517 1.3934 8.2210
O 2.5552 0.3774 6.4428
O 1.2790 4.8701 3.9578
O 0.6768 3.1375 6.5312
O 4.7484 1.3106 4.6609
Ba 0.0402 0.2204 2.1654
Ba 5.9872 5.9603 6.4533
Eu 3.1026 2.8055 6.4433
Eu 2.9248 3.3751 2.1754

Please write out number 2 again, unchanged.
6
Lattice="-1.7053 -2.3800 0.5530 3.8230 -0.4646 1.7620 -2.8375 3.0704 4.4644" Properties=species:S:1:pos:R:3 comment="TaCrC, optimized geometry, DFT PBE" crystal_system=monoclinic m_tot_mub_per_cell=0.00 space_group=Cm total_energy_ev_per_cell=-61.8 dos_ef_per_ev_cell=3.90 pbc="T T T"
Cr -0.6204 0.9801 2.3051
Cr -0.5286 -0.5402 4.0726
C -0.6083 -0.9966 1.8625
C -1.1214 0.2719 5.7394
Ta 1.6456 -0.6905 2.1025
Ta -2.7177 1.0918 4.3458

Copy entry 2 word for word.
6
Lattice="-1.7053 -2.3800 0.5530 3.8230 -0.4646 1.7620 -2.8375 3.0704 4.4644" Properties=species:S:1:pos:R:3 comment="TaCrC, optimized geometry, DFT PBE" crystal_system=monoclinic m_tot_mub_per_cell=0.00 space_group=Cm total_energy_ev_per_cell=-61.8 dos_ef_per_ev_cell=3.90 pbc="T T T"
Cr -0.6204 0.9801 2.3051
Cr -0.5286 -0.5402 4.0726
C -0.6083 -0.9966 1.8625
C -1.1214 0.2719 5.7394
Ta 1.6456 -0.6905 2.1025
Ta -2.7177 1.0918 4.3458